[1]
Mg2In4Bi: relaxed, PBE.

Cell: 12.2772 5.7489 6.0962 Å, 90.00 109.29 90.00°
Space group C2/m (No. 12)
One atom of each set of equivalent atoms:
Mg 0.1597 0.0000 0.0716 (multiplicity 4)
In 0.0000 0.0000 0.5000 (multiplicity 2)
In 0.0000 0.5000 0.0000 (multiplicity 2)
In 0.2396 0.5000 0.3598 (multiplicity 4)
Bi 0.0000 0.5000 0.5000 (multiplicity 2)

Calculated values
Energy of formation from the pure elements = 0.125 eV per atom

[2]
Ta4Ga: relaxed, PBE.

Cell: 5.6665 5.6665 11.5678 Å, 90.00 90.00 90.00°
Space group I4_1/a (No. 88, origin choice 2)
One atom of each set of equivalent atoms:
Ta 0.1471 0.0160 0.1983 (multiplicity 16)
Ga 0.0000 0.2500 0.6250 (multiplicity 4)

Calculated values
Energy of formation from the pure elements = 0.202 eV per atom
Offset from the most stable computed form = 0.000 eV per atom

[3]
SrAsIr2Ru: relaxed, PBE.

Cell: 4.8869 4.8869 4.6815 Å, 90.00 90.00 90.00°
Space group P4/mmm (No. 123)
One atom of each set of equivalent atoms:
Sr 0.0000 0.0000 0.0000 (multiplicity 1)
As 0.5000 0.5000 0.0000 (multiplicity 1)
Ir 0.0000 0.5000 0.5000 (multiplicity 2)
Ru 0.5000 0.5000 0.5000 (multiplicity 1)

Calculated values
Energy of formation from the pure elements = 0.557 eV per atom

[4]
TlRuRh: relaxed, PBE.

Cell: 2.9468 3.8530 8.8804 Å, 90.00 90.00 90.00°
Space group Imm2 (No. 44)
One atom of each set of equivalent atoms:
Tl 0.0000 0.0000 0.0000 (multiplicity 2)
Ru 0.0000 0.0000 0.6800 (multiplicity 2)
Rh 0.0000 0.0000 0.3209 (multiplicity 2)

Calculated values
Energy of formation from the pure elements = 0.466 eV per atom
Offset from the most stable computed form = 0.119 eV per atom

[5]
KRbPt3: relaxed, PBE.

Cell: 6.7181 6.7181 21.5319 Å, 90.00 90.00 120.00°
Space group R-3m (No. 166, hexagonal axes)
One atom of each set of equivalent atoms:
K 0.0000 0.0000 0.0726 (multiplicity 6)
Rb 0.0000 0.0000 0.3622 (multiplicity 6)
Pt 0.0694 0.5347 0.8599 (multiplicity 18)

Calculated values
Energy of formation from the pure elements = 0.153 eV per atom
Offset from the most stable computed form = 0.000 eV per atom

[6]
PtC2Se2: relaxed, PBE.

Cell: 7.3140 7.3140 2.9656 Å, 90.00 90.00 90.00°
Space group P4/mbm (No. 127)
One atom of each set of equivalent atoms:
Pt 0.0000 0.0000 0.0000 (multiplicity 2)
C 0.1972 0.3028 0.5000 (multiplicity 4)
Se 0.1837 0.6837 0.0000 (multiplicity 4)

Calculated values
Offset from the most stable computed form = 0.000 eV per atom
Formation energy without anion corrections = 7.62 eV per formula unit

[7]
Pm3AgRh8: relaxed, PBE.

Cell: 5.3449 5.3449 26.3157 Å, 90.00 90.00 120.00°
Space group R3m (No. 160, hexagonal axes)
One atom of each set of equivalent atoms:
Pm 0.0000 0.0000 0.0000 (multiplicity 3)
Pm 0.0000 0.0000 0.1296 (multiplicity 3)
Pm 0.0000 0.0000 0.6168 (multiplicity 3)
Ag 0.0000 0.0000 0.4953 (multiplicity 3)
Rh 0.0000 0.0000 0.3117 (multiplicity 3)
Rh 0.0000 0.0000 0.8118 (multiplicity 3)
Rh 0.0000 0.5000 0.0621 (multiplicity 9)
Rh 0.0013 0.5006 0.5613 (multiplicity 9)

Calculated values
Energy of formation from the pure elements = -0.496 eV per atom

[8]
TeSe2: relaxed, PBE.

Cell: 4.5926 4.5926 3.8805 Å, 90.00 90.00 90.00°
Space group P4/mmm (No. 123)
One atom of each set of equivalent atoms:
Te 0.0000 0.0000 0.0000 (multiplicity 1)
Se 0.0000 0.5000 0.5000 (multiplicity 2)

Calculated values
Offset from the most stable computed form = 0.346 eV per atom
Formation energy without anion corrections = 0.99 eV per formula unit

[9]
CuPb6Cl12: relaxed, PBE.

Cell: 12.8456 12.8456 11.9324 Å, 90.00 90.00 120.00°
Space group R-3 (No. 148, hexagonal axes)
One atom of each set of equivalent atoms:
Cu 0.0000 0.0000 0.0000 (multiplicity 3)
Pb 0.0601 0.2730 0.6597 (multiplicity 18)
Cl 0.0350 0.2213 0.3978 (multiplicity 18)
Cl 0.0504 0.1916 0.8878 (multiplicity 18)

Calculated values
Formation energy without anion corrections = -18.06 eV per formula unit

[10]
LiCo2BAs: relaxed, PBE.

Cell: 3.4687 3.4687 6.0461 Å, 90.00 90.00 120.00°
Space group P3m1 (No. 156)
One atom of each set of equivalent atoms:
Li 0.0000 0.0000 0.0000 (multiplicity 1)
Co 0.3333 0.6667 0.7213 (multiplicity 1)
Co 0.6667 0.3333 0.4484 (multiplicity 1)
B 0.6667 0.3333 0.7690 (multiplicity 1)
As 0.3333 0.6667 0.2868 (multiplicity 1)

Calculated values
Energy of formation from the pure elements = -0.022 eV per atom
Offset from the most stable computed form = 0.268 eV per atom

[11]
SmTm8Cd6: relaxed, PBE.

Cell: 8.9041 8.9041 18.9370 Å, 90.00 90.00 120.00°
Space group R-3 (No. 148, hexagonal axes)
One atom of each set of equivalent atoms:
Sm 0.0000 0.0000 0.0000 (multiplicity 3)
Tm 0.0000 0.0000 0.3328 (multiplicity 6)
Tm 0.0011 0.6655 0.7826 (multiplicity 18)
Cd 0.0000 0.3385 0.0533 (multiplicity 18)

Calculated values
Energy of formation from the pure elements = -0.050 eV per atom

[12]
ScRhAu: relaxed, PBE.

Cell: 6.2024 6.2024 6.2024 Å, 90.00 90.00 90.00°
Space group F-43m (No. 216)
One atom of each set of equivalent atoms:
Sc 0.0000 0.0000 0.0000 (multiplicity 4)
Rh 0.2500 0.2500 0.7500 (multiplicity 4)
Au 0.2500 0.2500 0.2500 (multiplicity 4)

Calculated values
Energy of formation from the pure elements = -0.332 eV per atom
Offset from the most stable computed form = 0.378 eV per atom

[13]
ZrTa2In: relaxed, PBE.

Cell: 3.0999 3.0999 29.6191 Å, 90.00 90.00 120.00°
Space group R-3m (No. 166, hexagonal axes)
One atom of each set of equivalent atoms:
Zr 0.0000 0.0000 0.0000 (multiplicity 3)
Ta 0.0000 0.0000 0.2499 (multiplicity 6)
In 0.0000 0.0000 0.5000 (multiplicity 3)

Calculated values
Energy of formation from the pure elements = 0.260 eV per atom

[14]
PuHfIn2: relaxed, PBE.

Cell: 3.1441 3.1441 9.4779 Å, 90.00 90.00 90.00°
Space group P4/mmm (No. 123)
One atom of each set of equivalent atoms:
Pu 0.0000 0.0000 0.0000 (multiplicity 1)
Hf 0.0000 0.0000 0.5000 (multiplicity 1)
In 0.5000 0.5000 0.2653 (multiplicity 2)

Calculated values
Energy of formation from the pure elements = -0.169 eV per atom
Offset from the most stable computed form = 0.000 eV per atom

no.,total moment (μB per atom)
1,0.000
2,0.000
3,0.000
4,0.077
5,0.121
6,0.000
7,0.000
8,0.000
9,0.000
10,0.000
11,0.000
12,0.000
13,0.000
14,1.391